No. 1
DFT (GGA-PBE) results for a relaxed VCoP2Cl crystal.

Geometry as POSCAR:
```
VCoP2Cl
1.0
4.518 0.000 0.000
0.000 4.518 0.000
0.000 0.000 4.765
V Co P Cl
1 1 2 1
Direct
0.000 0.000 0.000
0.500 0.500 0.500
0.000 0.500 0.000
0.500 0.000 0.000
0.000 0.000 0.500
```

Calculated values
The calculation puts the calculated density at 3.54 g cm⁻³. For the distance to the lowest polymorph of the same formula, the calculation gives 0 meV per atom.

---

No. 2
DFT (GGA-PBE) results for a relaxed VCoPCl2 crystal.

Geometry as POSCAR:
```
VCoPCl2
1.0
4.644 0.000 0.000
0.000 4.644 0.000
0.000 0.000 4.340
V Co P Cl
1 1 1 2
Direct
0.000 0.000 0.000
0.500 0.500 0.500
0.500 0.500 0.000
0.000 0.500 0.500
0.500 0.000 0.500
```

Calculated values
The calculation puts the calculated density at 3.76 g cm⁻³. For the distance to the lowest polymorph of the same formula, the calculation gives 0 meV per atom.

---

| no. | uncorrected energy (eV per atom) | DOS at the Fermi energy (states/eV per cell) | raw formation energy (meV per atom) |
| --- | --- | --- | --- |
| 1 | -5.173 | 4.9 | 605 |
| 2 | -4.662 | 7.5 | 403 |